No. 1
Material: Ce2GdSi
Method: DFT, PBE
State: relaxed

Cell: 3.880 3.880 7.114 Å, 90.00 90.00 90.00°
Space group P4/mmm (No. 123)
One atom of each set of equivalent atoms:
Ce  0.000  0.000  0.190
Gd  0.500  0.500  0.500
Si  0.500  0.500  0.000

Output
calculated total energy = -8.118 eV per atom
formation energy from raw total energies = -26.55 kJ per mole of atoms

=====

No. 2
Material: ZrPb2Br
Method: DFT, PBE
State: relaxed

Cell: 7.642 7.642 7.642 Å, 90.00 90.00 90.00°
Space group Fm-3m (No. 225)
One atom of each set of equivalent atoms:
Zr  0.000  0.000  0.000
Pb  0.250  0.250  0.250
Br  0.000  0.000  0.500

Output
calculated total energy = -4.087 eV per atom
formation energy from raw total energies = 31.15 kJ per mole of atoms

=====

No. 3
Material: HfMgZn2Rh
Method: DFT, PBE
State: relaxed

Cell: 4.835 4.835 4.820 Å, 90.00 90.00 90.00°
Space group P4/mmm (No. 123)
One atom of each set of equivalent atoms:
Hf  0.000  0.000  0.000
Mg  0.500  0.500  0.000
Zn  0.000  0.500  0.500
Rh  0.000  0.000  0.500

Output
calculated total energy = -4.164 eV per atom